# 1
# La5Pr6Sm2 (PBE, optimized geometry)
# ΔH_f (0 K)	0.08	eV/atom
# raw total energy	-61.74	eV/f.u.
data_La5Pr6Sm2
_cell_length_a 12.037
_cell_length_b 21.291
_cell_length_c 3.710
_cell_angle_alpha 90.00
_cell_angle_beta 90.00
_cell_angle_gamma 90.00
_space_group_name_H-M_alt 'P b a m'
_space_group_IT_number 55
_space_group_name_Hall '-P 2 2ab'
loop_
_atom_site_label
_atom_site_fract_x
_atom_site_fract_y
_atom_site_fract_z
La1 0.000 0.000 0.000
La2 0.083 0.273 0.000
La3 0.199 0.551 0.000
Pr1 0.059 0.419 0.500
Pr2 0.083 0.131 0.500
Pr3 0.177 0.862 0.000
Sm1 0.172 0.711 0.500


# 2
# La3PrSm4 (PBE, optimized geometry)
# ΔH_f (0 K)	0.04	eV/atom
# raw total energy	-38.15	eV/f.u.
# distance to the lowest polymorph of the same formula	0.00	eV/f.u.
data_La3PrSm4
_cell_length_a 11.917
_cell_length_b 7.443
_cell_length_c 6.433
_cell_angle_alpha 90.00
_cell_angle_beta 90.00
_cell_angle_gamma 90.00
_space_group_name_H-M_alt 'P m n 21'
_space_group_IT_number 31
_space_group_name_Hall 'P 2ac -2'
loop_
_atom_site_label
_atom_site_fract_x
_atom_site_fract_y
_atom_site_fract_z
La1 0.000 0.126 0.000
La2 0.248 0.124 0.331
Pr1 0.000 0.624 0.999
Sm1 0.000 0.376 0.500
Sm2 0.000 0.872 0.501
Sm3 0.249 0.624 0.333


# 3
# La2Pr3Sm2 (PBE, optimized geometry)
# ΔH_f (0 K)	0.09	eV/atom
# raw total energy	-33.00	eV/f.u.
# distance to the lowest polymorph of the same formula	0.53	eV/f.u.
data_La2Pr3Sm2
_cell_length_a 17.951
_cell_length_b 3.596
_cell_length_c 8.919
_cell_angle_alpha 90.00
_cell_angle_beta 118.58
_cell_angle_gamma 90.00
_space_group_name_H-M_alt 'C 1 2/m 1'
_space_group_IT_number 12
_space_group_name_Hall '-C 2y'
loop_
_atom_site_label
_atom_site_fract_x
_atom_site_fract_y
_atom_site_fract_z
La1 0.146 0.000 0.330
Pr1 0.000 0.000 0.500
Pr2 0.214 0.000 0.804
Sm1 0.064 0.500 0.906


# 4
# La2Pr3Sm5 (PBE, optimized geometry)
# ΔH_f (0 K)	0.16	eV/atom
# raw total energy	-46.16	eV/f.u.
# distance to the lowest polymorph of the same formula	0.00	eV/f.u.
data_La2Pr3Sm5
_cell_length_a 10.955
_cell_length_b 17.318
_cell_length_c 9.245
_cell_angle_alpha 90.00
_cell_angle_beta 126.27
_cell_angle_gamma 90.00
_space_group_name_H-M_alt 'C 1 2/c 1'
_space_group_IT_number 15
_space_group_name_Hall '-C 2yc'
loop_
_atom_site_label
_atom_site_fract_x
_atom_site_fract_y
_atom_site_fract_z
La1 0.147 0.127 0.042
Pr1 0.000 0.026 0.250
Pr2 0.143 0.374 0.537
Sm1 0.000 0.221 0.250
Sm2 0.000 0.279 0.750
Sm3 0.000 0.472 0.750
Sm4 0.248 0.371 0.250


# 5
# LaPrSm4 (PBE, optimized geometry)
# ΔH_f (0 K)	0.02	eV/atom
# raw total energy	-28.48	eV/f.u.
# distance to the lowest polymorph of the same formula	0.00	eV/f.u.
data_LaPrSm4
_cell_length_a 6.358
_cell_length_b 10.981
_cell_length_c 6.351
_cell_angle_alpha 90.00
_cell_angle_beta 109.54
_cell_angle_gamma 90.00
_space_group_name_H-M_alt 'C 1 2/m 1'
_space_group_IT_number 12
_space_group_name_Hall '-C 2y'
loop_
_atom_site_label
_atom_site_fract_x
_atom_site_fract_y
_atom_site_fract_z
La1 0.000 0.000 0.000
Pr1 0.000 0.500 0.500
Sm1 0.000 0.168 0.500
Sm2 0.000 0.332 0.000


# 6
# La2PrSm3 (PBE, optimized geometry)
# ΔH_f (0 K)	0.13	eV/atom
# raw total energy	-28.03	eV/f.u.
# distance to the lowest polymorph of the same formula	0.00	eV/f.u.
data_La2PrSm3
_cell_length_a 17.439
_cell_length_b 7.041
_cell_length_c 7.121
_cell_angle_alpha 90.00
_cell_angle_beta 101.71
_cell_angle_gamma 90.00
_space_group_name_H-M_alt 'C 1 2/c 1'
_space_group_IT_number 15
_space_group_name_Hall '-C 2yc'
loop_
_atom_site_label
_atom_site_fract_x
_atom_site_fract_y
_atom_site_fract_z
La1 0.175 0.004 0.089
Pr1 0.000 0.234 0.750
Sm1 0.000 0.237 0.250
Sm2 0.140 0.497 0.569


# 7
# La12Pr2Sm5 (PBE, optimized geometry)
# ΔH_f (0 K)	0.09	eV/atom
# raw total energy	-90.55	eV/f.u.
# distance to the lowest polymorph of the same formula	0.23	eV/f.u.
data_La12Pr2Sm5
_cell_length_a 13.387
_cell_length_b 11.863
_cell_length_c 9.637
_cell_angle_alpha 90.00
_cell_angle_beta 116.46
_cell_angle_gamma 90.00
_space_group_name_H-M_alt 'C 1 2/m 1'
_space_group_IT_number 12
_space_group_name_Hall '-C 2y'
loop_
_atom_site_label
_atom_site_fract_x
_atom_site_fract_y
_atom_site_fract_z
La1 0.074 0.000 0.279
La2 0.107 0.220 0.921
La3 0.119 0.500 0.447
La4 0.193 0.257 0.304
Pr1 0.000 0.229 0.500
Sm1 0.000 0.500 0.000
Sm2 0.189 0.000 0.731
Sm3 0.192 0.500 0.836


# 8
# La3Pr5Sm3 (PBE, optimized geometry)
# ΔH_f (0 K)	0.67	eV/atom
# raw total energy	-45.51	eV/f.u.
# distance to the lowest polymorph of the same formula	4.21	eV/f.u.
data_La3Pr5Sm3
_cell_length_a 9.8418
_cell_length_b 9.8418
_cell_length_c 5.8398
_cell_angle_alpha 90.00
_cell_angle_beta 90.00
_cell_angle_gamma 120.00
_space_group_name_H-M_alt 'P -6 2 m'
_space_group_IT_number 189
_space_group_name_Hall 'P -6 -2'
loop_
_atom_site_label
_atom_site_fract_x
_atom_site_fract_y
_atom_site_fract_z
La1 0.0000 0.5447 0.0000
Pr1 0.0000 0.2798 0.5000
Pr2 0.3333 0.6667 0.5000
Sm1 0.0000 0.6331 0.5000


# 9
# La4Pr5Sm2 (PBE, optimized geometry)
# ΔH_f (0 K)	0.17	eV/atom
# raw total energy	-51.17	eV/f.u.
# distance to the lowest polymorph of the same formula	1.13	eV/f.u.
data_La4Pr5Sm2
_cell_length_a 3.618
_cell_length_b 11.793
_cell_length_c 18.864
_cell_angle_alpha 90.00
_cell_angle_beta 90.00
_cell_angle_gamma 90.00
_space_group_name_H-M_alt 'I m m m'
_space_group_IT_number 71
_space_group_name_Hall '-I 2 2'
loop_
_atom_site_label
_atom_site_fract_x
_atom_site_fract_y
_atom_site_fract_z
La1 0.000 0.000 0.086
La2 0.000 0.256 0.500
Pr1 0.000 0.292 0.322
Pr2 0.000 0.500 0.000
Sm1 0.000 0.000 0.299


# 10
# La2PrSm9 (PBE, optimized geometry)
# ΔH_f (0 K)	0.06	eV/atom
# raw total energy	-56.41	eV/f.u.
# distance to the lowest polymorph of the same formula	0.47	eV/f.u.
data_La2PrSm9
_cell_length_a 11.5854
_cell_length_b 11.5854
_cell_length_c 3.5587
_cell_angle_alpha 90.00
_cell_angle_beta 90.00
_cell_angle_gamma 120.00
_space_group_name_H-M_alt 'P 6/m m m'
_space_group_IT_number 191
_space_group_name_Hall '-P 6 2'
loop_
_atom_site_label
_atom_site_fract_x
_atom_site_fract_y
_atom_site_fract_z
La1 0.3333 0.6667 0.0000
Pr1 0.0000 0.0000 0.0000
Sm1 0.0000 0.5000 0.0000
Sm2 0.1720 0.3441 0.5000


# 11
# La5Pr2Sm4 (PBE, optimized geometry)
# ΔH_f (0 K)	0.02	eV/atom
# raw total energy	-52.85	eV/f.u.
# distance to the lowest polymorph of the same formula	0.00	eV/f.u.
data_La5Pr2Sm4
_cell_length_a 24.290
_cell_length_b 3.691
_cell_length_c 9.063
_cell_angle_alpha 90.00
_cell_angle_beta 104.46
_cell_angle_gamma 90.00
_space_group_name_H-M_alt 'C 1 2/m 1'
_space_group_IT_number 12
_space_group_name_Hall '-C 2y'
loop_
_atom_site_label
_atom_site_fract_x
_atom_site_fract_y
_atom_site_fract_z
La1 0.000 0.000 0.000
La2 0.137 0.500 0.094
La3 0.227 0.500 0.816
Pr1 0.090 0.000 0.724
Sm1 0.046 0.500 0.366
Sm2 0.182 0.000 0.455


# 12
# La8Pr2Sm3 (PBE, optimized geometry)
# ΔH_f (0 K)	0.15	eV/atom
# raw total energy	-61.22	eV/f.u.
# distance to the lowest polymorph of the same formula	0.00	eV/f.u.
data_La8Pr2Sm3
_cell_length_a 15.065
_cell_length_b 11.191
_cell_length_c 5.890
_cell_angle_alpha 90.00
_cell_angle_beta 108.97
_cell_angle_gamma 90.00
_space_group_name_H-M_alt 'C 1 2/m 1'
_space_group_IT_number 12
_space_group_name_Hall '-C 2y'
loop_
_atom_site_label
_atom_site_fract_x
_atom_site_fract_y
_atom_site_fract_z
La1 0.074 0.000 0.236
La2 0.163 0.500 0.628
La3 0.166 0.269 0.167
Pr1 0.173 0.000 0.802
Sm1 0.000 0.256 0.500
Sm2 0.000 0.500 0.000


# 13
# La5Pr12Sm (PBE, optimized geometry)
# ΔH_f (0 K)	0.01	eV/atom
# raw total energy	-86.50	eV/f.u.
data_La5Pr12Sm
_cell_length_a 15.752
_cell_length_b 15.757
_cell_length_c 5.268
_cell_angle_alpha 90.00
_cell_angle_beta 90.00
_cell_angle_gamma 90.00
_space_group_name_H-M_alt 'C m m m'
_space_group_IT_number 65
_space_group_name_Hall '-C 2 2'
loop_
_atom_site_label
_atom_site_fract_x
_atom_site_fract_y
_atom_site_fract_z
La1 0.000 0.000 0.000
La2 0.166 0.500 0.000
La3 0.167 0.000 0.500
Pr1 0.000 0.167 0.500
Pr2 0.000 0.334 0.000
Pr3 0.166 0.334 0.500
Pr4 0.167 0.168 0.000
Sm1 0.000 0.500 0.500


# 14
# La12Pr2Sm5 (PBE, optimized geometry)
# ΔH_f (0 K)	0.08	eV/atom
# raw total energy	-90.78	eV/f.u.
# distance to the lowest polymorph of the same formula	0.00	eV/f.u.
data_La12Pr2Sm5
_cell_length_a 18.435
_cell_length_b 11.948
_cell_length_c 6.365
_cell_angle_alpha 90.00
_cell_angle_beta 102.47
_cell_angle_gamma 90.00
_space_group_name_H-M_alt 'C 1 2/m 1'
_space_group_IT_number 12
_space_group_name_Hall '-C 2y'
loop_
_atom_site_label
_atom_site_fract_x
_atom_site_fract_y
_atom_site_fract_z
La1 0.055 0.000 0.271
La2 0.106 0.248 0.620
La3 0.116 0.500 0.001
La4 0.197 0.240 0.202
Pr1 0.000 0.267 0.000
Sm1 0.000 0.500 0.500
Sm2 0.182 0.000 0.856
Sm3 0.214 0.500 0.555


# 15
# La5Pr4Sm2 (PBE, optimized geometry)
# ΔH_f (0 K)	0.12	eV/atom
# raw total energy	-51.91	eV/f.u.
# distance to the lowest polymorph of the same formula	0.26	eV/f.u.
data_La5Pr4Sm2
_cell_length_a 24.729
_cell_length_b 3.559
_cell_length_c 9.110
_cell_angle_alpha 90.00
_cell_angle_beta 96.84
_cell_angle_gamma 90.00
_space_group_name_H-M_alt 'C 1 2/m 1'
_space_group_IT_number 12
_space_group_name_Hall '-C 2y'
loop_
_atom_site_label
_atom_site_fract_x
_atom_site_fract_y
_atom_site_fract_z
La1 0.000 0.000 0.000
La2 0.141 0.500 0.110
La3 0.230 0.500 0.825
Pr1 0.046 0.500 0.363
Pr2 0.178 0.000 0.473
Sm1 0.091 0.500 0.730


# 16
# La2Pr3Sm6 (PBE, optimized geometry)
# ΔH_f (0 K)	0.24	eV/atom
# raw total energy	-49.83	eV/f.u.
# distance to the lowest polymorph of the same formula	1.05	eV/f.u.
data_La2Pr3Sm6
_cell_length_a 4.880
_cell_length_b 4.880
_cell_length_c 34.054
_cell_angle_alpha 90.00
_cell_angle_beta 90.00
_cell_angle_gamma 90.00
_space_group_name_H-M_alt 'I 4/m m m'
_space_group_IT_number 139
_space_group_name_Hall '-I 4 2'
loop_
_atom_site_label
_atom_site_fract_x
_atom_site_fract_y
_atom_site_fract_z
La1 0.000 0.000 0.045
Pr1 0.000 0.000 0.297
Pr2 0.000 0.000 0.500
Sm1 0.000 0.000 0.195
Sm2 0.000 0.500 0.121


# 17
# La3PrSm7 (PBE, optimized geometry)
# ΔH_f (0 K)	0.23	eV/atom
# raw total energy	-50.12	eV/f.u.
# distance to the lowest polymorph of the same formula	0.26	eV/f.u.
data_La3PrSm7
_cell_length_a 12.940
_cell_length_b 11.461
_cell_length_c 6.006
_cell_angle_alpha 90.00
_cell_angle_beta 117.59
_cell_angle_gamma 90.00
_space_group_name_H-M_alt 'C 1 2/m 1'
_space_group_IT_number 12
_space_group_name_Hall '-C 2y'
loop_
_atom_site_label
_atom_site_fract_x
_atom_site_fract_y
_atom_site_fract_z
La1 0.000 0.000 0.000
La2 0.000 0.212 0.500
Pr1 0.000 0.500 0.000
Sm1 0.000 0.500 0.500
Sm2 0.205 0.199 0.205
Sm3 0.207 0.000 0.707


# 18
# La2Pr7Sm (PBE, optimized geometry)
# ΔH_f (0 K)	0.34	eV/atom
# raw total energy	-44.63	eV/f.u.
# distance to the lowest polymorph of the same formula	2.04	eV/f.u.
data_La2Pr7Sm
_cell_length_a 12.224
_cell_length_b 17.140
_cell_length_c 3.586
_cell_angle_alpha 90.00
_cell_angle_beta 90.00
_cell_angle_gamma 90.00
_space_group_name_H-M_alt 'C m m m'
_space_group_IT_number 65
_space_group_name_Hall '-C 2 2'
loop_
_atom_site_label
_atom_site_fract_x
_atom_site_fract_y
_atom_site_fract_z
La1 0.000 0.171 0.000
Pr1 0.000 0.324 0.500
Pr2 0.000 0.500 0.000
Pr3 0.247 0.375 0.000
Sm1 0.000 0.000 0.500


# 19
# La2Pr2Sm5 (PBE, optimized geometry)
# ΔH_f (0 K)	0.13	eV/atom
# raw total energy	-41.85	eV/f.u.
# distance to the lowest polymorph of the same formula	0.00	eV/f.u.
data_La2Pr2Sm5
_cell_length_a 18.038
_cell_length_b 3.550
_cell_length_c 10.077
_cell_angle_alpha 90.00
_cell_angle_beta 98.56
_cell_angle_gamma 90.00
_space_group_name_H-M_alt 'C 1 2/m 1'
_space_group_IT_number 12
_space_group_name_Hall '-C 2y'
loop_
_atom_site_label
_atom_site_fract_x
_atom_site_fract_y
_atom_site_fract_z
La1 0.164 0.000 0.222
Pr1 0.004 0.500 0.688
Sm1 0.000 0.000 0.000
Sm2 0.170 0.500 0.540
Sm3 0.174 0.000 0.868